[1]
The following is a PBE calculation of a geometry-optimized VCo3 structure, from Alexandria.

Cell: 4.020 4.992 4.992 Å, 120.00 90.00 90.00°
Site moments in Bohr magnetons follow the coordinates.
Fractional coordinates of all 8 atoms:
V (0.750, 0.333, 0.667)  -0.21
V (0.250, 0.667, 0.333)  -0.21
Co (0.750, 0.326, 0.163)  0.26
Co (0.750, 0.837, 0.163)  0.26
Co (0.750, 0.837, 0.674)  0.26
Co (0.250, 0.163, 0.326)  0.26
Co (0.250, 0.674, 0.837)  0.26
Co (0.250, 0.163, 0.837)  0.26

Computed properties:
energy: -31.05 eV/f.u.
density of states at the Fermi level: 2.80 states/eV/f.u.
magnetic moment: 0.136 μB per atom
E_form: -0.153 eV/atom

[2]
The following is a PBE calculation of a geometry-optimized Ce2ScHg structure, from Alexandria.

Cell: 5.373 5.373 5.373 Å, 60.00 60.00 60.00°
Site moments in Bohr magnetons follow the coordinates.
Fractional coordinates of all 4 atoms:
Ce (0.750, 0.750, 0.750)  0.88
Ce (0.250, 0.250, 0.250)  0.88
Sc (0.500, 0.500, 0.500)  0.44
Hg (0.000, 0.000, 0.000)  -0.01

Computed properties:
energy above the most stable polymorph in this dataset: 164 meV/atom
energy: -18.41 eV/f.u.
density of states at the Fermi level: 13.17 states/eV/f.u.
magnetic moment: 0.719 μB per atom
E_form: 0.023 eV/atom

[3]
The following is a PBE calculation of a geometry-optimized Dy2GaSi3Ni4 structure, from Alexandria.

Cell: 3.985 3.985 9.596 Å, 90.00 90.00 90.00°
Fractional coordinates of all 10 atoms:
Ni (0.000, 0.500, 0.364)
Ni (0.500, 0.500, 0.000)
Ni (0.000, 0.000, 0.000)
Ni (0.500, 0.000, 0.636)
Si (0.000, 0.000, 0.500)
Si (0.500, 0.000, 0.874)
Si (0.000, 0.500, 0.126)
Ga (0.500, 0.500, 0.500)
Dy (0.500, 0.000, 0.248)
Dy (0.000, 0.500, 0.752)

Computed properties:
energy: -59.59 eV/f.u.
density of states at the Fermi level: 5.89 states/eV/f.u.
formation energy (no corrections): -0.797 eV per atom
magnetic moment: 0.000 μB per atom

[4]
The following is a PBE calculation of a geometry-optimized HAuS structure, from Alexandria.

Cell: 7.026 3.239 4.321 Å, 90.00 90.29 90.00°
Fractional coordinates of all 6 atoms:
H (0.256, 0.000, 0.048)
H (0.256, 0.500, 0.548)
S (0.058, 0.500, 0.547)
S (0.058, 0.000, 0.047)
Au (0.575, 0.000, 0.052)
Au (0.575, 0.500, 0.552)

Computed properties:
energy above the most stable polymorph in this dataset: 419 meV/atom
energy: -9.94 eV/f.u.
density of states at the Fermi level: 1.13 states/eV/f.u.
magnetic moment: 0.000 μB per atom

[5]
The following is a PBE calculation of a geometry-optimized Nb2NiH structure, from Alexandria.

Cell: 2.847 2.847 7.857 Å, 79.56 79.56 60.00°
Fractional coordinates of all 4 atoms:
Ni (0.000, 0.000, 0.000)
H (0.500, 0.500, 0.500)
Nb (0.107, 0.107, 0.679)
Nb (0.893, 0.893, 0.321)

Computed properties:
energy above the most stable polymorph in this dataset: 100 meV/atom
energy: -27.83 eV/f.u.
density of states at the Fermi level: 6.32 states/eV/f.u.
magnetic moment: 0.000 μB per atom

[6]
The following is a PBE calculation of a geometry-optimized KLiLa2 structure, from Alexandria.

Cell: 6.785 6.785 6.785 Å, 135.52 135.52 64.73°
Fractional coordinates of all 4 atoms:
Li (0.500, 0.500, 0.000)
K (0.750, 0.250, 0.500)
La (0.000, 0.000, 0.000)
La (0.250, 0.750, 0.500)

Computed properties:
energy above the most stable polymorph in this dataset: 336 meV/atom
energy: -10.87 eV/f.u.
density of states at the Fermi level: 6.43 states/eV/f.u.
magnetic moment: 0.005 μB per atom
E_form: 0.499 eV/atom

[7]
The following is a PBE calculation of a geometry-optimized Zr2TiCuIr structure, from Alexandria.

Cell: 5.091 4.682 5.091 Å, 90.00 90.00 90.00°
Site moments in Bohr magnetons follow the coordinates.
Fractional coordinates of all 5 atoms:
Cu (0.500, 0.500, 0.500)  0.02
Ir (0.000, 0.000, 0.000)  -0.02
Zr (0.000, 0.000, 0.500)  0.09
Zr (0.500, 0.000, 0.000)  0.17
Ti (0.000, 0.500, 0.000)  0.51

Computed properties:
energy: -35.79 eV/f.u.
density of states at the Fermi level: 7.25 states/eV/f.u.
magnetic moment: 0.221 μB per atom
E_form: 0.431 eV/atom

[8]
The following is a PBE calculation of a geometry-optimized MgGaTeO6 structure, from Alexandria.

Cell: 5.149 5.149 8.939 Å, 90.00 90.00 120.00°
Site moments in Bohr magnetons follow the coordinates.
Fractional coordinates of all 18 atoms:
O (0.354, 0.008, 0.632)  0.15
O (0.346, 0.354, 0.368)  0.15
O (0.992, 0.346, 0.632)  0.15
O (0.354, 0.346, 0.868)  0.15
O (0.646, 0.654, 0.132)  0.15
O (0.008, 0.654, 0.368)  0.15
O (0.346, 0.992, 0.132)  0.15
O (0.646, 0.992, 0.368)  0.15
O (0.654, 0.646, 0.632)  0.15
O (0.654, 0.008, 0.868)  0.15
O (0.008, 0.354, 0.132)  0.15
O (0.992, 0.646, 0.868)  0.15
Te (0.667, 0.333, 0.750)  -0.02
Te (0.333, 0.667, 0.250)  -0.02
Mg (0.000, 0.000, 0.000)  0.00
Mg (0.000, 0.000, 0.500)  0.00
Ga (0.333, 0.667, 0.750)  -0.01
Ga (0.667, 0.333, 0.250)  -0.01

Computed properties:
energy: -50.72 eV/f.u.
density of states at the Fermi level: 3.73 states/eV/f.u.
formation energy (no corrections): -1.468 eV per atom
magnetic moment: 0.114 μB per atom

> Among the records above, which one has the lowest energy?

Dy2GaSi3Ni4